5
Lattice="5.3601 0.0000 0.0000 0.0000 5.3601 0.0000 0.0000 0.0000 5.3601" Properties=species:S:1:pos:R:3 comment="Gd3InRh, optimized geometry, DFT GGA-PBE" total_energy_ev_per_cell=-54.17 magmom_total_mub_per_atom=4.341 pbc="T T T"
Gd 0.0000 0.0000 2.6801
Gd 0.0000 2.6801 0.0000
Gd 2.6801 0.0000 0.0000
In 2.6801 2.6801 2.6801
Rh 0.0000 0.0000 0.0000